Entry 1:
An optimized crystal structure of Ac12Co6Au. Source: Alexandria, functional PBE.

Unit cell a=9.1445 b=9.1445 c=9.1445 alpha=109.47 beta=109.47 gamma=109.47
With the nearest neighbours (Å) after each atom.
Positions (direct):
Ac 0.1225 0.8123 0.3102  3 Co 2.93-3.05
Ac 0.1877 0.3102 0.4979  3 Co 2.93-3.05
Ac 0.1877 0.6898 0.8775  3 Co 2.93-3.05
Ac 0.3102 0.1225 0.8123  3 Co 2.93-3.05
Ac 0.3102 0.4979 0.1877  3 Co 2.93-3.05
Ac 0.4979 0.1877 0.3102  3 Co 2.93-3.05
Ac 0.5021 0.8123 0.6898  3 Co 2.93-3.05
Ac 0.6898 0.5021 0.8123  3 Co 2.93-3.05
Ac 0.6898 0.8775 0.1877  3 Co 2.93-3.05
Ac 0.8123 0.3102 0.1225  3 Co 2.93-3.05
Ac 0.8123 0.6898 0.5021  3 Co 2.93-3.05
Ac 0.8775 0.1877 0.6898  3 Co 2.93-3.05
Co 0.1095 0.6095 0.5000  1 Co 2.31
Co 0.3905 0.5000 0.8905  1 Co 2.31
Co 0.5000 0.1095 0.6095  1 Co 2.31
Co 0.5000 0.8905 0.3905  1 Co 2.31
Co 0.6095 0.5000 0.1095  1 Co 2.31
Co 0.8905 0.3905 0.5000  1 Co 2.31
Au 0.0000 0.0000 0.0000  12 Ac 3.83

Summary:
Total energy (eV per atom): -5.10
Energy of formation from the pure elements (eV per atom): -0.09
Volume (Å³/f.u.): 588.66

Entry 2:
An optimized crystal structure of Rb2RePbS4. Source: Alexandria, functional PBE.

Unit cell a=6.9679 b=6.9679 c=6.9679 alpha=110.48 beta=110.48 gamma=107.48
With the nearest neighbours (Å) after each atom.
Positions (direct):
Rb 0.0000 0.0000 0.0000  8 S 3.52-3.92
Rb 0.7500 0.2500 0.5000  4 S 3.32
Re 0.5000 0.5000 0.0000  4 S 2.23
Pb 0.2500 0.7500 0.5000  4 S 2.87
S 0.2141 0.5496 0.0444  1 Re 2.23
S 0.4504 0.4949 0.6645  1 Re 2.23
S 0.5051 0.1697 0.9556  1 Re 2.23
S 0.8303 0.7859 0.3355  1 Re 2.23

Summary:
Uncorrected formation energy (eV per atom): -0.59
Total energy (eV per atom): -4.92
Volume (Å³/f.u.): 260.19

Entry 3:
An optimized crystal structure of Y4HoErS8. Source: Alexandria, functional PBE.

Unit cell a=8.0357 b=8.0357 c=8.0357 alpha=60.06 beta=60.06 gamma=60.06
With the nearest neighbours (Å) after each atom.
Positions (direct):
Y 0.0000 0.0000 0.0000  4 S 2.61-2.62
Y 0.3754 0.3754 0.8753  6 S 2.76-2.77
Y 0.3754 0.8753 0.3754  6 S 2.76-2.77
Y 0.8753 0.3754 0.3754  6 S 2.76-2.77
Ho 0.7506 0.7506 0.7506  4 S 2.59-2.60
Er 0.3755 0.3755 0.3755  6 S 2.73-2.74
S 0.1326 0.1326 0.1326  4 Y 2.61-2.76
S 0.1353 0.1353 0.6011  3 Y 2.62-2.76, 1 Er 2.73
S 0.1353 0.6011 0.1353  3 Y 2.62-2.76, 1 Er 2.73
S 0.1472 0.6164 0.6164  1 Ho 2.60, 1 Er 2.74, 2 Y 2.77
S 0.6011 0.1353 0.1353  3 Y 2.62-2.76, 1 Er 2.73
S 0.6164 0.1472 0.6164  1 Ho 2.60, 1 Er 2.74, 2 Y 2.77
S 0.6164 0.6164 0.1472  1 Ho 2.60, 1 Er 2.74, 2 Y 2.77
S 0.6188 0.6188 0.6188  1 Ho 2.59, 3 Y 2.77

Summary:
Uncorrected formation energy (eV per atom): -1.94
Total energy (eV per atom): -6.80
Volume (Å³/f.u.): 367.37

Entry 4:
An optimized crystal structure of HS4Cl. Source: Alexandria, functional PBE.

Unit cell a=4.0003 b=8.8004 c=10.4525 alpha=89.02 beta=84.17 gamma=86.17
With the nearest neighbours (Å) after each atom.
Positions (direct):
H 0.0590 0.2431 0.1206  1 Cl 1.30
H 0.9410 0.7569 0.8794  1 Cl 1.30
S 0.2010 0.3057 0.8823  1 S 1.91
S 0.2675 0.3221 0.6122  1 S 1.90
S 0.3485 0.8167 0.3812  1 S 1.90
S 0.4074 0.8324 0.1333  1 S 1.91
S 0.5926 0.1676 0.8667  1 S 1.91
S 0.6515 0.1833 0.6188  1 S 1.90
S 0.7325 0.6779 0.3878  1 S 1.90
S 0.7990 0.6943 0.1177  1 S 1.91
Cl 0.1204 0.7810 0.7714  1 H 1.30
Cl 0.8796 0.2190 0.2286  1 H 1.30

Summary:
Total energy (eV per atom): -3.66
Volume (Å³/f.u.): 182.61

Entry 5:
An optimized crystal structure of RbScS2Cl. Source: Alexandria, functional PBE.

Unit cell a=4.9757 b=4.9757 c=5.3433 alpha=90.00 beta=90.00 gamma=90.00
With the nearest neighbours (Å) after each atom.
Positions (direct):
Rb 0.0000 0.0000 0.0000  4 Cl 3.52, 8 S 3.65
Sc 0.5000 0.5000 0.5000  4 S 2.49, 2 Cl 2.67
S 0.0000 0.5000 0.5000  2 Sc 2.49
S 0.5000 0.0000 0.5000  2 Sc 2.49
Cl 0.5000 0.5000 0.0000  2 Sc 2.67

Summary:
Uncorrected formation energy (eV per atom): -1.46
Total energy (eV per atom): -4.94
Volume (Å³/f.u.): 132.29

Entry 6:
An optimized crystal structure of NaY4V2. Source: Alexandria, functional PBE.

Unit cell a=7.8413 b=7.8413 c=7.8413 alpha=137.29 beta=137.29 gamma=62.00
With the nearest neighbours (Å) after each atom.
Positions (direct):
Na 0.0000 0.0000 0.0000  6 Y 2.86-2.99
Y 0.0000 0.5000 0.5000  2 Na 2.86, 4 V 3.01
Y 0.2226 0.2226 0.0000  1 V 2.78, 1 Na 2.99
Y 0.5000 0.0000 0.5000  2 Na 2.86, 4 V 3.01
Y 0.7774 0.7774 0.0000  1 V 2.78, 1 Na 2.99
V 0.4297 0.4297 0.0000  1 V 1.89
V 0.5703 0.5703 0.0000  1 V 1.89

Summary:
Total energy (eV per atom): -5.61
Energy of formation from the pure elements (eV per atom): 0.88
Volume (Å³/f.u.): 219.24

Entry 7:
An optimized crystal structure of Mo3H2Rh5. Source: Alexandria, functional PBE.

Unit cell a=7.3800 b=7.3800 c=7.3800 alpha=115.56 beta=81.45 gamma=135.82
With the nearest neighbours (Å) after each atom.
Positions (direct):
Mo 0.1253 0.7331 0.8584  1 H 2.03
Mo 0.2500 0.2500 0.0000  4 H 2.00
Mo 0.3747 0.2331 0.6077  1 H 2.03
Mo 0.6253 0.7669 0.3923  1 H 2.03
Mo 0.7500 0.7500 0.0000  4 H 2.00
Mo 0.8747 0.2669 0.1416  1 H 2.03
H 0.1290 0.9903 0.1193  3 Rh 1.96-2.05, 3 Mo 2.00-2.03
H 0.3710 0.4903 0.8613  3 Rh 1.96-2.05, 3 Mo 2.00-2.03
H 0.6290 0.5097 0.1387  3 Rh 1.96-2.05, 3 Mo 2.00-2.03
H 0.8710 0.0097 0.8807  3 Rh 1.96-2.05, 3 Mo 2.00-2.03
Rh 0.0024 0.7500 0.2524  2 H 1.96
Rh 0.1208 0.2504 0.3711  1 H 2.05
Rh 0.2500 0.7500 0.5000  4 Mo 2.69, 8 Rh 2.76-2.78
Rh 0.3792 0.7504 0.1296  1 H 2.05
Rh 0.4976 0.7500 0.7476  2 H 1.96
Rh 0.5024 0.2500 0.2524  2 H 1.96
Rh 0.6208 0.2496 0.8704  1 H 2.05
Rh 0.7500 0.2500 0.5000  4 Mo 2.69, 8 Rh 2.76-2.78
Rh 0.8792 0.7496 0.6289  1 H 2.05
Rh 0.9976 0.2500 0.7476  2 H 1.96

Summary:
Total energy (eV per atom): -7.70
Volume (Å³/f.u.): 122.15

Entry 8:
An optimized crystal structure of PmDyAgPd. Source: Alexandria, functional PBE.

Unit cell a=4.7601 b=5.7384 c=5.7384 alpha=38.73 beta=90.00 gamma=90.00
With the nearest neighbours (Å) after each atom.
Positions (direct):
Pm 0.0000 0.0000 0.0000  3 Pd 2.97-3.09, 4 Ag 3.12
Dy 0.5000 0.2788 0.2788  3 Ag 3.03-3.05, 4 Pd 3.10
Ag 0.5000 0.5608 0.5608  2 Pd 2.97, 3 Dy 3.03-3.05, 4 Pm 3.12
Pd 0.0000 0.7254 0.7254  2 Ag 2.97, 3 Pm 2.97-3.09, 4 Dy 3.10

Summary:
Total energy (eV per atom): -4.91
Energy of formation from the pure elements (eV per atom): -0.56
Volume (Å³/f.u.): 98.06

Here are the calculated D(E_F) numbers, same order: 0.96, 0.52, 0.60, 0.21, 0.52, 1.62, 0.86, 0.63 (states/eV per atom).